1.
Compound: MnMoOs2
Source: Alexandria
Functional: PBE-GGA
Structure: optimized geometry

Its formation energy is 0.110 eV per atom. Its total energy is -10.505 eV per atom. The value obtained for the energy relative to the lowest polymorph listed for this composition is 65 meV/atom.

The space group is C2/m (No. 12) and the conventional cell measures 8.863, 2.730 and 4.746 Å, with angles of 90.00, 100.03 and 90.00 degrees. The inequivalent atoms are Mn at (0.000, 0.000, 0.000), Mo at (0.000, 0.500, 0.500) and Os at (0.245, 0.500, 0.233).

2.
Compound: MnMoOs2
Source: Alexandria
Functional: PBE-GGA
Structure: optimized geometry

Its formation energy is 0.111 eV per atom. Its total energy is -10.504 eV per atom. The value obtained for the energy relative to the lowest polymorph listed for this composition is 66 meV/atom.

The space group is Pmm2 (No. 25) and the conventional cell measures 2.723, 3.807 and 5.442 Å, with angles of 90.00, 90.00 and 90.00 degrees. The inequivalent atoms are Mn at (0.000, 0.000, 0.000), Mo at (0.500, 0.500, 0.253), Os at (0.000, 0.000, 0.516) and Os at (0.500, 0.500, 0.771).

3.
Compound: MnMoOs2
Source: Alexandria
Functional: PBE-GGA
Structure: optimized geometry

Its formation energy is 0.108 eV per atom. Its total energy is -10.507 eV per atom. The value obtained for the energy relative to the lowest polymorph listed for this composition is 64 meV/atom.

The space group is Cm (No. 8) and the conventional cell measures 9.036, 2.732 and 4.674 Å, with angles of 90.00, 99.90 and 90.00 degrees. The inequivalent atoms are Mn at (0.000, 0.000, 0.000), Mo at (0.245, 0.000, 0.751), Os at (0.249, 0.500, 0.252) and Os at (0.493, 0.000, 0.478).

4.
Compound: Mn5MoOs
Source: Alexandria
Functional: PBE-GGA
Structure: optimized geometry

Its formation energy is 0.054 eV per atom. Its total energy is -9.647 eV per atom.

The space group is Pnma (No. 62) and the conventional cell measures 7.720, 4.609 and 9.824 Å, with angles of 90.00, 90.00 and 90.00 degrees. The inequivalent atoms are Mn at (0.049, 0.250, 0.084), Mn at (0.072, 0.508, 0.311), Mn at (0.091, 0.750, 0.523), Mn at (0.193, 0.750, 0.750), Mo at (0.248, 0.750, 0.064) and Os at (0.135, 0.250, 0.849).

5.
Compound: MnMoOs2
Source: Alexandria
Functional: PBE-GGA
Structure: optimized geometry

Its formation energy is 0.311 eV per atom. Its total energy is -10.304 eV per atom. The value obtained for the energy relative to the lowest polymorph listed for this composition is 266 meV/atom.

The space group is Cmmm (No. 65) and the conventional cell measures 2.987, 4.492 and 8.690 Å, with angles of 90.00, 90.00 and 90.00 degrees. The inequivalent atoms are Mn at (0.000, 0.000, 0.000), Mo at (0.000, 0.000, 0.500) and Os at (0.000, 0.500, 0.242).

6.
Compound: Mn2MoOs
Source: Alexandria
Functional: PBE-GGA
Structure: optimized geometry

Its formation energy is 0.132 eV per atom. Its total energy is -9.968 eV per atom.

The space group is Pmm2 (No. 25) and the conventional cell measures 2.703, 3.715 and 5.383 Å, with angles of 90.00, 90.00 and 90.00 degrees. The inequivalent atoms are Mn at (0.000, 0.000, 0.000), Mn at (0.500, 0.500, 0.224), Mo at (0.000, 0.000, 0.489) and Os at (0.500, 0.500, 0.756).

7.
Compound: Mn2MoOs
Source: Alexandria
Functional: PBE-GGA
Structure: optimized geometry

Its formation energy is 0.157 eV per atom. Its total energy is -9.943 eV per atom.

The space group is P2/m (No. 10) and the conventional cell measures 2.640, 4.068 and 5.216 Å, with angles of 90.00, 103.76 and 90.00 degrees. The inequivalent atoms are Mn at (0.227, 0.000, 0.243), Mo at (0.000, 0.500, 0.500) and Os at (0.500, 0.500, 0.000).

8.
Compound: Mn2MoOs
Source: Alexandria
Functional: PBE-GGA
Structure: optimized geometry

Its formation energy is 0.816 eV per atom. Its total energy is -9.284 eV per atom.

The space group is I-42d (No. 122) and the conventional cell measures 3.591, 3.591 and 18.276 Å, with angles of 90.00, 90.00 and 90.00 degrees. The inequivalent atoms are Mn at (0.173, 0.250, 0.125), Mo at (0.000, 0.000, 0.500) and Os at (0.000, 0.000, 0.000).

9.
Compound: Mn2MoOs
Source: Alexandria
Functional: PBE-GGA
Structure: optimized geometry

Its formation energy is 0.117 eV per atom. Its total energy is -9.983 eV per atom.

The space group is Fmmm (No. 69) and the conventional cell measures 5.364, 5.373 and 7.360 Å, with angles of 90.00, 90.00 and 90.00 degrees. The inequivalent atoms are Mn at (0.250, 0.250, 0.250), Mo at (0.000, 0.000, 0.000) and Os at (0.000, 0.000, 0.500).

10.
Compound: Mn2MoOs
Source: Alexandria
Functional: PBE-GGA
Structure: optimized geometry

Its formation energy is 0.063 eV per atom. Its total energy is -10.037 eV per atom.

The space group is I-4m2 (No. 119) and the conventional cell measures 3.808, 3.808 and 7.566 Å, with angles of 90.00, 90.00 and 90.00 degrees. The inequivalent atoms are Mn at (0.000, 0.000, 0.000), Mn at (0.000, 0.500, 0.250), Mo at (0.000, 0.500, 0.750) and Os at (0.000, 0.000, 0.500).

11.
Compound: Mn2MoOs
Source: Alexandria
Functional: PBE-GGA
Structure: optimized geometry

Its formation energy is 0.119 eV per atom. Its total energy is -9.981 eV per atom.

The space group is Cm (No. 8) and the conventional cell measures 8.867, 2.680 and 4.583 Å, with angles of 90.00, 100.54 and 90.00 degrees. The inequivalent atoms are Mn at (0.000, 0.000, 0.000), Mn at (0.240, 0.500, 0.235), Mo at (0.243, 0.000, 0.743) and Os at (0.481, 0.000, 0.469).

12.
Compound: Mn2MoOs
Source: Alexandria
Functional: PBE-GGA
Structure: optimized geometry

Its formation energy is 0.124 eV per atom. Its total energy is -9.976 eV per atom.

The space group is P4/mmm (No. 123) and the conventional cell measures 2.656, 2.656 and 7.577 Å, with angles of 90.00, 90.00 and 90.00 degrees. The inequivalent atoms are Mn at (0.000, 0.000, 0.235), Mo at (0.500, 0.500, 0.500) and Os at (0.500, 0.500, 0.000).

13.
Compound: Mn2MoOs
Source: Alexandria
Functional: PBE-GGA
Structure: optimized geometry

Its formation energy is 0.129 eV per atom. Its total energy is -9.971 eV per atom.

The space group is P4mm (No. 99) and the conventional cell measures 3.041, 3.041 and 5.977 Å, with angles of 90.00, 90.00 and 90.00 degrees. The inequivalent atoms are Mn at (0.000, 0.000, 0.000), Mn at (0.500, 0.500, 0.186), Mo at (0.000, 0.000, 0.473) and Os at (0.500, 0.500, 0.731).

14.
Compound: MnMoOs2
Source: Alexandria
Functional: PBE-GGA
Structure: optimized geometry

Its formation energy is 0.217 eV per atom. Its total energy is -10.398 eV per atom. The value obtained for the energy relative to the lowest polymorph listed for this composition is 173 meV/atom.

The space group is Imm2 (No. 44) and the conventional cell measures 3.052, 4.306 and 8.738 Å, with angles of 90.00, 90.00 and 90.00 degrees. The inequivalent atoms are Mn at (0.000, 0.000, 0.000), Mo at (0.000, 0.500, 0.738), Os at (0.000, 0.000, 0.498) and Os at (0.000, 0.500, 0.266).

15.
Compound: MnMoOs2
Source: Alexandria
Functional: PBE-GGA
Structure: optimized geometry

Its formation energy is 0.074 eV per atom. Its total energy is -10.541 eV per atom. The value obtained for the energy relative to the lowest polymorph listed for this composition is 29 meV/atom.

The space group is I4/mmm (No. 139) and the conventional cell measures 3.860, 3.860 and 7.583 Å, with angles of 90.00, 90.00 and 90.00 degrees. The inequivalent atoms are Mn at (0.000, 0.000, 0.000), Mo at (0.000, 0.000, 0.500) and Os at (0.000, 0.500, 0.250).

16.
Compound: MnMoOs2
Source: Alexandria
Functional: PBE-GGA
Structure: optimized geometry

Its formation energy is 0.121 eV per atom. Its total energy is -10.494 eV per atom. The value obtained for the energy relative to the lowest polymorph listed for this composition is 76 meV/atom.

The space group is Cmmm (No. 65) and the conventional cell measures 5.452, 7.559 and 2.760 Å, with angles of 90.00, 90.00 and 90.00 degrees. The inequivalent atoms are Mn at (0.000, 0.000, 0.000), Mo at (0.000, 0.500, 0.000) and Os at (0.250, 0.250, 0.500).

17.
Compound: MnMo4Os
Source: Alexandria
Functional: PBE-GGA
Structure: optimized geometry

Its formation energy is 0.431 eV per atom. Its total energy is -10.190 eV per atom.

The space group is F-43m (No. 216) and the conventional cell measures 7.276, 7.276 and 7.276 Å, with angles of 90.00, 90.00 and 90.00 degrees. The inequivalent atoms are Mn at (0.000, 0.000, 0.000), Mo at (0.126, 0.126, 0.626) and Os at (0.250, 0.250, 0.250).

18.
Compound: MnMoOs
Source: Alexandria
Functional: PBE-GGA
Structure: optimized geometry

Its formation energy is 0.074 eV per atom. Its total energy is -10.336 eV per atom. The value obtained for the energy relative to the lowest polymorph listed for this composition is 0 meV/atom.

The space group is I4mm (No. 107) and the conventional cell measures 2.690, 2.690 and 11.461 Å, with angles of 90.00, 90.00 and 90.00 degrees. The inequivalent atoms are Mn at (0.000, 0.000, 0.000), Mo at (0.000, 0.000, 0.672) and Os at (0.000, 0.000, 0.360).

19.
Compound: MnMoOs
Source: Alexandria
Functional: PBE-GGA
Structure: optimized geometry

Its formation energy is 0.148 eV per atom. Its total energy is -10.262 eV per atom. The value obtained for the energy relative to the lowest polymorph listed for this composition is 74 meV/atom.

The space group is Imm2 (No. 44) and the conventional cell measures 2.714, 3.784 and 8.173 Å, with angles of 90.00, 90.00 and 90.00 degrees. The inequivalent atoms are Mn at (0.000, 0.000, 0.000), Mo at (0.000, 0.000, 0.671) and Os at (0.000, 0.000, 0.347).

20.
Compound: Mn8MoOs3
Source: Alexandria
Functional: PBE-GGA
Structure: optimized geometry

Its formation energy is -0.045 eV per atom. Its total energy is -9.868 eV per atom.

The space group is P3m1 (No. 156) and the conventional cell measures 4.6730, 4.6730 and 7.6201 Å, with angles of 90.00, 90.00 and 120.00 degrees. The inequivalent atoms are Mn at (0.0000, 0.0000, 0.0000), Mn at (0.0000, 0.0000, 0.4992), Mn at (0.1746, 0.3491, 0.2526), Mn at (0.3484, 0.1742, 0.7494), Mo at (0.6667, 0.3333, 0.0658), Os at (0.3333, 0.6667, 0.5691), Os at (0.3333, 0.6667, 0.9292) and Os at (0.6667, 0.3333, 0.4309).